Computed, not measured: Pm2TiZnO6 after structural relaxation at the GGA-PBE level of DFT.

Lattice parameters (Å, degrees): 5.2855 5.2855 4.9101 90.00 90.00 90.00
Closest atoms and distances in Å follow each position.
Space group P4mm (No. 99)
Inequivalent atoms, fractional coordinates:
1 Pm 0.0000 0.5000 0.0000 [2 per cell]  4 O 2.33
2 Ti 0.0000 0.0000 0.5819 [1 per cell]  5 O 1.84-1.92
3 Zn 0.5000 0.5000 0.5564 [1 per cell]  5 O 1.93-2.09
4 O 0.0000 0.0000 0.2073 [1 per cell]  1 Ti 1.84
5 O 0.2415 0.2415 0.7159 [4 per cell]  1 Ti 1.92, 1 Zn 2.09
6 O 0.5000 0.5000 0.1635 [1 per cell]  1 Zn 1.93

The crystal system is tetragonal. The calculation puts the total energy at -7.67 eV per atom.

=====

Computed, not measured: PmZrTi2O8 after structural relaxation at the GGA-PBE level of DFT.

Lattice parameters (Å, degrees): 5.1367 5.1367 11.0164 90.00 90.00 90.00
Closest atoms and distances in Å follow each position.
Space group I-4 (No. 82)
Inequivalent atoms, fractional coordinates:
1 Pm 0.0000 0.0000 0.0000 [2 per cell]  8 O 2.38-2.44
2 Zr 0.0000 0.5000 0.7500 [2 per cell]  8 O 2.22-2.28
3 Ti 0.0000 0.0000 0.5000 [2 per cell]  4 O 1.85
4 Ti 0.0000 0.5000 0.2500 [2 per cell]  4 O 1.86
5 O 0.1542 0.2604 0.5914 [8 per cell]  1 Ti 1.85
6 O 0.1832 0.7610 0.1709 [8 per cell]  1 Ti 1.86

The crystal system is tetragonal. The calculation puts the total energy at -8.73 eV per atom.

=====

Computed, not measured: PmZrTiO6 after structural relaxation at the GGA-PBE level of DFT.

Lattice parameters (Å, degrees): 5.3974 5.3974 9.9032 90.00 90.00 120.00
Closest atoms and distances in Å follow each position.
Space group P-31c (No. 163)
Inequivalent atoms, fractional coordinates:
1 Pm 0.0000 0.0000 0.0000 [2 per cell]  6 O 2.38
2 Zr 0.3333 0.6667 0.2500 [2 per cell]  6 O 2.12
3 Ti 0.3333 0.6667 0.7500 [2 per cell]  6 O 1.98
4 O 0.0192 0.3684 0.6401 [12 per cell]  1 Ti 1.98, 1 Zr 2.12

The crystal system is trigonal. The calculation puts the total energy at -8.61 eV per atom.

=====

Computed, not measured: Pm2TlO2 after structural relaxation at the GGA-PBE level of DFT.

Lattice parameters (Å, degrees): 4.0263 4.0263 13.7958 90.00 90.00 90.00
Closest atoms and distances in Å follow each position.
Space group I4/mmm (No. 139)
Inequivalent atoms, fractional coordinates:
1 Pm 0.0000 0.0000 0.1666 [4 per cell]  4 O 2.32
2 Tl 0.0000 0.0000 0.5000 [2 per cell]  8 Pm 3.66, 8 O 3.99, 4 Tl 4.03
3 O 0.0000 0.5000 0.2500 [4 per cell]  4 Pm 2.32

The crystal system is tetragonal. The calculation puts the total energy at -6.71 eV per atom.

=====

Computed, not measured: PmTlO2 after structural relaxation at the GGA-PBE level of DFT.

Lattice parameters (Å, degrees): 3.6425 3.6425 20.4769 90.00 90.00 120.00
Closest atoms and distances in Å follow each position.
Space group R3m (No. 160, hexagonal axes)
Inequivalent atoms, fractional coordinates:
1 Pm 0.0000 0.0000 0.0000 [3 per cell]  6 O 2.29-2.52
2 Tl 0.0000 0.0000 0.1822 [3 per cell]  3 O 2.71
3 O 0.0000 0.0000 0.3777 [3 per cell]  3 Pm 2.29
4 O 0.0000 0.0000 0.5987 [3 per cell]  3 Pm 2.52, 3 Tl 2.71

The crystal system is trigonal. The calculation puts the energy above the lowest structure with this stoichiometry at 10 meV/atom.

=====

Computed, not measured: Pm7Tl3O2 after structural relaxation at the GGA-PBE level of DFT.

Lattice parameters (Å, degrees): 4.9869 25.1333 4.8357 90.00 90.00 90.00
Closest atoms and distances in Å follow each position.
Space group Cmmm (No. 65)
Inequivalent atoms, fractional coordinates:
1 Pm 0.0000 0.0000 0.0000 [2 per cell]  2 O 2.51
2 Pm 0.0000 0.0953 0.5000 [4 per cell]  2 O 2.42
3 Pm 0.0000 0.2006 0.0000 [4 per cell]  1 O 2.53
4 Pm 0.0000 0.3977 0.0000 [4 per cell]  2 O 2.49
5 Tl 0.0000 0.3072 0.5000 [4 per cell]  10 Pm 3.32-3.61
6 Tl 0.0000 0.5000 0.5000 [2 per cell]  12 Pm 3.46-3.53
7 O 0.0000 0.0999 0.0000 [4 per cell]  6 Pm 2.42-2.53

The crystal system is orthorhombic. The calculation puts the total energy at -5.36 eV per atom.

=====

Computed, not measured: Pm6Tl3O2 after structural relaxation at the GGA-PBE level of DFT.

Lattice parameters (Å, degrees): 4.8269 4.8269 25.5704 90.00 90.00 90.00
Closest atoms and distances in Å follow each position.
Space group I4/mmm (No. 139)
Inequivalent atoms, fractional coordinates:
1 Pm 0.0000 0.0000 0.1973 [4 per cell]  1 O 2.41
2 Pm 0.0000 0.5000 0.0853 [8 per cell]  2 O 2.45
3 Tl 0.0000 0.0000 0.3236 [4 per cell]  9 Pm 3.23-3.45
4 Tl 0.0000 0.0000 0.5000 [2 per cell]  8 Pm 3.25
5 O 0.0000 0.0000 0.1028 [4 per cell]  5 Pm 2.41-2.45

The crystal system is tetragonal. The calculation puts the total energy at -5.35 eV per atom.

=====

Computed, not measured: PmTlO2 after structural relaxation at the GGA-PBE level of DFT.

Lattice parameters (Å, degrees): 3.6348 3.6348 19.5036 90.00 90.00 120.00
Closest atoms and distances in Å follow each position.
Space group R-3m (No. 166, hexagonal axes)
Inequivalent atoms, fractional coordinates:
1 Pm 0.0000 0.0000 0.0000 [3 per cell]  6 O 2.39
2 Tl 0.0000 0.0000 0.5000 [3 per cell]  6 O 2.97
3 O 0.0000 0.0000 0.2743 [6 per cell]  3 Pm 2.39

The crystal system is trigonal. The calculation puts the energy above the lowest structure with this stoichiometry at 0 meV/atom.